GdErThHg | PBE-GGA | optimized geometry

Properties
space-group type	F-43m (216)
total magnetic moment	8.5	μB per formula unit
density of states at the Fermi level	1.370	states/eV/atom
formation energy	0.06	eV/atom

Lattice parameters (Å, degrees): 5.4472 5.4472 5.4472 60.00 60.00 60.00
With the nearest neighbours (Å) after each atom.
Element x y z (fractional)
Gd: 0.0000 0.0000 0.0000  4 Hg 3.34, 4 Th 3.34
Er: 0.5000 0.5000 0.5000  4 Hg 3.34, 4 Th 3.34
Th: 0.2500 0.2500 0.2500  4 Er 3.34, 4 Gd 3.34
Hg: 0.7500 0.7500 0.7500  4 Er 3.34, 4 Gd 3.34